A plane-wave DFT calculation with PBE was carried out for a relaxed Ac6Hg2Pt crystal.

As for the magnetization: 0.0 Bohr magnetons per cell. As for the energy: -70.438 eV/cell. The calculation puts the calculated formation energy at -42.1 kJ per mole of atoms. The crystal system is monoclinic.

The space group is P2_1/c (No. 14) and the conventional cell measures 7.345, 8.322 and 13.073 Å, with angles of 90.00, 119.78 and 90.00 degrees. The inequivalent atoms are Ac at (0.116, 0.033, 0.256), Ac at (0.220, 0.674, 0.061), Ac at (0.382, 0.200, 0.058), Hg at (0.334, 0.106, 0.772) and Pt at (0.000, 0.000, 0.000).

=====

A plane-wave DFT calculation with PBE was carried out for a relaxed BaNa2Li2Hg crystal.

As for the magnetization: 0.0 Bohr magnetons per cell. As for the energy: -17.098 eV/cell. The calculation puts the calculated formation energy at 2.3 kJ per mole of atoms. The crystal system is tetragonal.

The space group is I4/mmm (No. 139) and the conventional cell measures 5.592, 5.592 and 13.122 Å, with angles of 90.00, 90.00 and 90.00 degrees. The inequivalent atoms are Ba at (0.000, 0.000, 0.000), Na at (0.000, 0.500, 0.250), Li at (0.000, 0.000, 0.302) and Hg at (0.000, 0.000, 0.500).

=====

- What is the energy in the second record?
  -17.098 eV/cell

=====

- Look up the magnetization of the second one.
  0.0 Bohr magnetons per cell

=====

- The lowest calculated formation energy belongs to which entry?
  Ac6Hg2Pt

=====

Repeat the first record exactly.
A plane-wave DFT calculation with PBE was carried out for a relaxed Ac6Hg2Pt crystal.

As for the magnetization: 0.0 Bohr magnetons per cell. As for the energy: -70.438 eV/cell. The calculation puts the calculated formation energy at -42.1 kJ per mole of atoms. The crystal system is monoclinic.

The space group is P2_1/c (No. 14) and the conventional cell measures 7.345, 8.322 and 13.073 Å, with angles of 90.00, 119.78 and 90.00 degrees. The inequivalent atoms are Ac at (0.116, 0.033, 0.256), Ac at (0.220, 0.674, 0.061), Ac at (0.382, 0.200, 0.058), Hg at (0.334, 0.106, 0.772) and Pt at (0.000, 0.000, 0.000).